The following is a GGA-PBE calculation of an optimized crystal structure of Pa2Cd2O5, from the Open Quantum Materials Database.

As for the relative energy among the computed polymorphs: 707 meV/atom. The spin magnetization comes out at 0.228 μB/atom. The final energy comes out at -0.2276 Ha/atom. As for the space-group type: No. 123.

a b c (Å): 7.099 4.169 4.169
angles (deg): 90.00 90.00 90.00
Last column: magnetic moment on the atom in μB.
Sites, in units of the cell vectors:
Cd  0.182  0.500  0.500  0.00
Cd  0.818  0.500  0.500  0.00
O  0.257  0.500  0.000  -0.02
O  0.743  0.500  0.000  -0.02
O  0.257  0.000  0.500  -0.02
O  0.743  0.000  0.500  -0.02
O  0.500  0.500  0.500  -0.02
Pa  0.000  0.000  0.000  1.07
Pa  0.500  0.000  0.000  1.04

The following is a GGA-PBE calculation of an optimized crystal structure of NaBiOs, from the Open Quantum Materials Database.

As for the relative energy among the computed polymorphs: 712 meV/atom. The spin magnetization comes out at 0.000 μB/atom. The final energy comes out at -0.1477 Ha/atom. As for the space-group type: No. 216.

a b c (Å): 4.552 4.552 4.552
angles (deg): 60.00 60.00 60.00
Sites, in units of the cell vectors:
Bi  0.250  0.250  0.250
Na  0.000  0.000  0.000
Os  0.750  0.750  0.750

The following is a GGA-PBE calculation of an optimized crystal structure of GdScAl6, from the Open Quantum Materials Database.

The spin magnetization comes out at 0.000 μB/atom. The final energy comes out at -0.1684 Ha/atom. As for the space-group type: No. 187.

a b c (Å): 6.140 6.140 4.607
angles (deg): 90.00 90.00 120.00
Sites, in units of the cell vectors:
Al  0.025  0.513  0.000
Al  0.487  0.513  0.000
Al  0.487  0.975  0.000
Al  0.186  0.371  0.500
Al  0.186  0.814  0.500
Al  0.629  0.814  0.500
Gd  0.000  0.000  0.000
Sc  0.667  0.333  0.500

The following is a GGA-PBE calculation of an optimized crystal structure of U2Cd4Ge, from the Open Quantum Materials Database.

The spin magnetization comes out at 0.677 μB/atom. The final energy comes out at -0.1525 Ha/atom. As for the space-group type: No. 164.

a b c (Å): 3.006 3.006 19.763
angles (deg): 90.00 90.00 120.00
Last column: magnetic moment on the atom in μB.
Sites, in units of the cell vectors:
Cd  0.667  0.333  0.066  -0.01
Cd  0.333  0.667  0.372  0.01
Cd  0.667  0.333  0.628  0.01
Cd  0.333  0.667  0.934  -0.01
Ge  0.000  0.000  0.500  0.00
U  0.333  0.667  0.210  2.17
U  0.667  0.333  0.790  2.17

The following is a GGA-PBE calculation of an optimized crystal structure of LuMgAu, from the Open Quantum Materials Database.

The spin magnetization comes out at 0.001 μB/atom. The final energy comes out at -0.1132 Ha/atom. As for the space-group type: No. 216.

a b c (Å): 4.779 4.779 4.779
angles (deg): 60.00 60.00 60.00
Sites, in units of the cell vectors:
Au  0.250  0.250  0.250
Lu  0.000  0.000  0.000
Mg  0.750  0.750  0.750

The following is a GGA-PBE calculation of an optimized crystal structure of AgI, from the Open Quantum Materials Database.

The final energy comes out at -0.0870 Ha/atom. As for the space-group type: No. 225.

a b c (Å): 4.345 4.345 4.345
angles (deg): 60.00 60.00 60.00
Sites, in units of the cell vectors:
Ag  0.000  0.000  0.000
I  0.500  0.500  0.500